The following is a PBE calculation of an optimized crystal structure of ZnGa5Cu, from Alexandria via LeMat-Bulk.

Cell: 6.7305 6.2132 5.5837 Å, 123.80 127.06 90.00°
Atoms (fractional coordinates):
Zn1 0.7805 0.5000 0.0000
Ga1 0.2370 0.2010 0.4020
Ga2 0.1414 0.5000 0.0000
Ga3 0.8350 0.7990 0.5980
Ga4 0.4077 0.7935 0.0000
Ga5 0.4077 0.2065 0.0000
Cu1 0.7214 0.0000 0.0000

Output
Space-group type ... Imm2
E_form ... 15 kJ per mole of atoms
Total magnetization ... 0.0 μB/cell